Record 1
Density functional theory data (PBE with a Hubbard U) for crystalline Na2CoBAsO7 at its relaxed geometry.

Output
Mass density   3.10 Mg/m³

a = 5.418 Å, b = 6.426 Å, c = 9.324 Å
α = 90.00°, β = 94.16°, γ = 90.00°
Positions (direct):
1 Na 0.240 0.000 0.286
2 Na 0.240 0.500 0.286
3 Na 0.760 0.000 0.714
4 Na 0.760 0.500 0.714
5 Co 0.211 0.250 0.837
6 Co 0.789 0.750 0.163
7 B 0.266 0.250 0.586
8 B 0.734 0.750 0.414
9 As 0.282 0.750 0.936
10 As 0.718 0.250 0.064
11 O 0.041 0.250 0.650
12 O 0.130 0.750 0.091
13 O 0.193 0.546 0.821
14 O 0.193 0.954 0.821
15 O 0.307 0.250 0.449
16 O 0.399 0.250 0.029
17 O 0.452 0.250 0.702
18 O 0.548 0.750 0.298
19 O 0.601 0.750 0.971
20 O 0.693 0.750 0.551
21 O 0.807 0.046 0.179
22 O 0.807 0.454 0.179
23 O 0.870 0.250 0.909
24 O 0.959 0.750 0.350



Record 2
Density functional theory data (PBE with a Hubbard U) for crystalline Na3CoBAsO7 at its relaxed geometry.

Output
Mass density   3.28 Mg/m³

a = 5.288 Å, b = 6.820 Å, c = 9.141 Å
α = 90.00°, β = 91.17°, γ = 90.00°
Positions (direct):
1 Na 0.239 0.250 0.082
2 Na 0.246 0.001 0.757
3 Na 0.246 0.499 0.757
4 Na 0.754 0.501 0.243
5 Na 0.754 0.999 0.243
6 Na 0.761 0.750 0.918
7 Co 0.222 0.750 0.334
8 Co 0.778 0.250 0.666
9 B 0.260 0.750 0.064
10 B 0.740 0.250 0.936
11 As 0.285 0.250 0.425
12 As 0.715 0.750 0.575
13 O 0.022 0.750 0.125
14 O 0.131 0.250 0.588
15 O 0.206 0.054 0.314
16 O 0.206 0.446 0.314
17 O 0.314 0.750 0.921
18 O 0.392 0.750 0.538
19 O 0.453 0.750 0.176
20 O 0.547 0.250 0.824
21 O 0.608 0.250 0.462
22 O 0.686 0.250 0.079
23 O 0.794 0.554 0.686
24 O 0.794 0.946 0.686
25 O 0.869 0.750 0.412
26 O 0.978 0.250 0.875



Number 1: raw total energy -5.970 eV per atom. Number 2: raw total energy -5.900 eV per atom.